A relaxed structure of GeWNF2. Source: the Alexandria database, functional GGA+U.

Computed properties:
Total magnetic moment: 2.343 μB per formula unit
Electronic total energy: -5.46 eV per atom

Lattice parameters (Å, degrees): 4.260 4.260 4.082 90.00 90.00 90.00
Atoms (fractional coordinates):
Ge 0.000 0.000 0.000
W 0.500 0.500 0.500
N 0.500 0.500 0.000
F 0.000 0.500 0.500
F 0.500 0.000 0.500